First-principles (GGA-PBE) data for crystalline Ti3Nb4 at its relaxed geometry, as listed in Alexandria via LeMat-Bulk.

formation energy: 0.18 eV/atom
E: -8.96 eV per atom
crystal system: hexagonal

abc: 7.6750 7.6750 4.9577
angles: 90.00 90.00 120.00
Space group P6_3/m (No. 176)
Inequivalent atoms, fractional coordinates:
Ti: 0.0397 0.2312 0.2500
Nb: 0.0834 0.4586 0.7500
Nb: 0.3333 0.6667 0.2500